First-principles (PBE-GGA) data for an optimized crystal structure of La2FeI, as listed in Alexandria.

Output
E above lowest polymorph in meV/atom: 382
N(E_F) in states/eV per cell: 28.3
Total moment in μB/f.u.: 1.20

Cell lengths 7.651, 7.651, 7.651 Å; angles 90.00, 90.00, 90.00 degrees
Space group Fm-3m (No. 225)
Inequivalent atoms, fractional coordinates:
La: 0.250 0.250 0.250 x8
Fe: 0.000 0.000 0.000 x4
I: 0.000 0.000 0.500 x4

---

First-principles (PBE-GGA) data for an optimized crystal structure of Dy7Co2Pt2, as listed in Alexandria.

Output
N(E_F) in states/eV per cell: 17.5
Uncorrected energy in eV/atom: -5.74
Total moment in μB/f.u.: 0.00

Cell lengths 7.577, 10.581, 6.720 Å; angles 90.00, 90.00, 90.00 degrees
Space group Cmmm (No. 65)
Inequivalent atoms, fractional coordinates:
Dy: 0.000 0.000 0.000 x2
Dy: 0.000 0.500 0.251 x4
Dy: 0.250 0.250 0.258 x8
Co: 0.000 0.290 0.000 x4
Pt: 0.188 0.000 0.500 x4

---

First-principles (PBE-GGA) data for an optimized crystal structure of MnCu2Ir, as listed in Alexandria.

Output
N(E_F) in states/eV per cell: 3.0
Uncorrected energy in eV/atom: -6.52
Total moment in μB/f.u.: 3.81

Cell lengths 4.403, 2.783, 4.464 Å; angles 90.00, 105.60, 90.00 degrees
Space group P2/m (No. 10)
Inequivalent atoms, fractional coordinates:
Mn: 0.000 0.000 0.000 x1
Cu: 0.000 0.500 0.500 x1
Cu: 0.500 0.000 0.500 x1
Ir: 0.500 0.500 0.000 x1

---

First-principles (PBE-GGA) data for an optimized crystal structure of Li2TaHg, as listed in Alexandria.

Output
N(E_F) in states/eV per cell: 5.9
Uncorrected energy in eV/atom: -3.86
Total moment in μB/f.u.: 0.00

Cell lengths 2.9217, 2.9217, 30.0011 Å; angles 90.00, 90.00, 120.00 degrees
Space group R-3m (No. 166, hexagonal axes)
Inequivalent atoms, fractional coordinates:
Li: 0.0000 0.0000 0.2494 x6
Ta: 0.0000 0.0000 0.0000 x3
Hg: 0.0000 0.0000 0.5000 x3

---

First-principles (PBE-GGA) data for an optimized crystal structure of CeNbS2, as listed in Alexandria.

Output
E above lowest polymorph in meV/atom: 163
N(E_F) in states/eV per cell: 13.1
Total moment in μB/f.u.: 0.53

Cell lengths 3.493, 3.493, 13.172 Å; angles 90.00, 90.00, 90.00 degrees
Space group I-4m2 (No. 119)
Inequivalent atoms, fractional coordinates:
Ce: 0.000 0.000 0.000 x2
Nb: 0.000 0.500 0.750 x2
S: 0.000 0.000 0.379 x4

---

First-principles (PBE-GGA) data for an optimized crystal structure of Nd4GaSb2, as listed in Alexandria.

Output
N(E_F) in states/eV per cell: 22.9
Uncorrected energy in eV/atom: -5.02
Total moment in μB/f.u.: 0.03

Cell lengths 9.826, 9.829, 9.823 Å; angles 90.00, 90.00, 90.00 degrees
Space group Imma (No. 74)
Inequivalent atoms, fractional coordinates:
Nd: 0.000 0.055 0.189 x8
Nd: 0.195 0.250 0.561 x8
Ga: 0.000 0.250 0.875 x4
Sb: 0.000 0.000 0.500 x4
Sb: 0.250 0.250 0.250 x4